A relaxed Nb2Fe3Co crystal, computed with PBE-GGA.

Lattice parameters (Å, degrees): 4.3067 6.6814 6.6814 117.00 90.00 90.00
Sites, in units of the cell vectors:
Nb 0.7500 0.5394 0.8122
Nb 0.2500 0.1878 0.4606
Nb 0.2500 0.4606 0.1878
Nb 0.7500 0.8122 0.5394
Fe 0.0000 0.1881 0.8119
Fe 0.5000 0.1881 0.8119
Fe 0.2500 0.6078 0.6078
Fe 0.7500 0.3922 0.3922
Fe 0.5000 0.8119 0.1881
Fe 0.0000 0.8119 0.1881
Co 0.2500 0.9280 0.9280
Co 0.7500 0.0720 0.0720

Output
DOS(E_F): 0.89 states/eV per atom
space-group type: Cmcm
magnetic moment: 2.5 μB per formula unit
E_form: 0.374 eV/atom
E: -0.6173 Ry/atom


A relaxed Nb2FeCo crystal, computed with PBE-GGA.

Lattice parameters (Å, degrees): 3.1248 4.3258 4.3258 90.00 90.00 90.00
Sites, in units of the cell vectors:
Nb 0.0000 0.0000 0.5000
Nb 0.0000 0.5000 0.0000
Co 0.5000 0.0000 0.0000
Fe 0.5000 0.5000 0.5000

Output
excess energy over the best structure of this formula in the dataset: 0 meV/atom
DOS(E_F): 0.93 states/eV per atom
space-group type: P4/mmm
magnetic moment: 2.6 μB per formula unit
E_form: -0.035 eV/atom
E: -0.6587 Ry/atom


Please write out number 1 again, unchanged.
A relaxed Nb2Fe3Co crystal, computed with PBE-GGA.

Lattice parameters (Å, degrees): 4.3067 6.6814 6.6814 117.00 90.00 90.00
Sites, in units of the cell vectors:
Nb 0.7500 0.5394 0.8122
Nb 0.2500 0.1878 0.4606
Nb 0.2500 0.4606 0.1878
Nb 0.7500 0.8122 0.5394
Fe 0.0000 0.1881 0.8119
Fe 0.5000 0.1881 0.8119
Fe 0.2500 0.6078 0.6078
Fe 0.7500 0.3922 0.3922
Fe 0.5000 0.8119 0.1881
Fe 0.0000 0.8119 0.1881
Co 0.2500 0.9280 0.9280
Co 0.7500 0.0720 0.0720

Output
DOS(E_F): 0.89 states/eV per atom
space-group type: Cmcm
magnetic moment: 2.5 μB per formula unit
E_form: 0.374 eV/atom
E: -0.6173 Ry/atom


Question: Look up the magnetic moment of the second one.
Answer: 2.6 μB per formula unit


Question: Which formula does entry 2 have?
Answer: Nb2FeCo


Question: Number 1 is which compound?
Answer: Nb2Fe3Co